i:
An optimized crystal structure of LuP5O14, computed with GGA-PBE.

Results
The space-group type is Pnma (62). The value obtained for the density is 3598 kg/m³. The calculation puts the total magnetization at 0.6 Bohr magnetons per cell.

a b c (Å): 8.745 12.591 9.286
angles (deg): 90.00 90.00 90.00
Sites, in units of the cell vectors:
Lu1 0.023 0.250 0.046
Lu2 0.477 0.750 0.546
Lu3 0.523 0.250 0.454
Lu4 0.977 0.750 0.954
P1 0.010 0.578 0.292
P2 0.010 0.922 0.292
P3 0.076 0.750 0.495
P4 0.242 0.577 0.772
P5 0.242 0.923 0.772
P6 0.258 0.077 0.272
P7 0.258 0.423 0.272
P8 0.424 0.250 0.995
P9 0.490 0.078 0.792
P10 0.490 0.422 0.792
P11 0.510 0.578 0.208
P12 0.510 0.922 0.208
P13 0.576 0.750 0.005
P14 0.742 0.577 0.728
P15 0.742 0.923 0.728
P16 0.758 0.077 0.228
P17 0.758 0.423 0.228
P18 0.924 0.250 0.505
P19 0.990 0.078 0.708
P20 0.990 0.422 0.708
O1 0.010 0.630 0.150
O2 0.010 0.870 0.150
O3 0.023 0.152 0.576
O4 0.023 0.348 0.576
O5 0.043 0.750 0.651
O6 0.115 0.510 0.681
O7 0.115 0.990 0.681
O8 0.157 0.128 0.162
O9 0.157 0.372 0.162
O10 0.164 0.522 0.341
O11 0.164 0.978 0.341
O12 0.168 0.636 0.892
O13 0.168 0.864 0.892
O14 0.234 0.750 0.433
O15 0.266 0.250 0.933
O16 0.332 0.136 0.392
O17 0.332 0.364 0.392
O18 0.336 0.022 0.841
O19 0.336 0.478 0.841
O20 0.343 0.628 0.662
O21 0.343 0.872 0.662
O22 0.385 0.010 0.181
O23 0.385 0.490 0.181
O24 0.457 0.250 0.151
O25 0.477 0.652 0.076
O26 0.477 0.848 0.076
O27 0.490 0.130 0.650
O28 0.490 0.370 0.650
O29 0.510 0.630 0.350
O30 0.510 0.870 0.350
O31 0.523 0.152 0.924
O32 0.523 0.348 0.924
O33 0.543 0.750 0.849
O34 0.615 0.510 0.819
O35 0.615 0.990 0.819
O36 0.657 0.128 0.338
O37 0.657 0.372 0.338
O38 0.664 0.522 0.159
O39 0.664 0.978 0.159
O40 0.668 0.636 0.608
O41 0.668 0.864 0.608
O42 0.734 0.750 0.067
O43 0.766 0.250 0.567
O44 0.832 0.136 0.108
O45 0.832 0.364 0.108
O46 0.836 0.022 0.659
O47 0.836 0.478 0.659
O48 0.843 0.628 0.838
O49 0.843 0.872 0.838
O50 0.885 0.010 0.319
O51 0.885 0.490 0.319
O52 0.957 0.250 0.349
O53 0.977 0.652 0.424
O54 0.977 0.848 0.424
O55 0.990 0.130 0.850
O56 0.990 0.370 0.850


ii:
An optimized crystal structure of LuP5O14, computed with GGA-PBE.

Results
The space-group type is C2/c (15). The value obtained for the density is 3536 kg/m³. The calculation puts the total magnetization at 0.0 Bohr magnetons per cell.

a b c (Å): 9.136 9.136 12.470
angles (deg): 91.03 91.03 89.55
Sites, in units of the cell vectors:
Lu1 0.019 0.981 0.750
Lu2 0.466 0.534 0.750
Lu3 0.534 0.466 0.250
Lu4 0.981 0.019 0.250
P1 0.021 0.681 0.393
P2 0.073 0.580 0.741
P3 0.114 0.175 0.001
P4 0.175 0.114 0.501
P5 0.183 0.449 0.110
P6 0.319 0.979 0.107
P7 0.329 0.625 0.465
P8 0.375 0.671 0.035
P9 0.420 0.927 0.759
P10 0.449 0.183 0.610
P11 0.551 0.817 0.390
P12 0.580 0.073 0.241
P13 0.625 0.329 0.965
P14 0.671 0.375 0.535
P15 0.681 0.021 0.893
P16 0.817 0.551 0.890
P17 0.825 0.886 0.499
P18 0.886 0.825 0.999
P19 0.927 0.420 0.259
P20 0.979 0.319 0.607
O1 0.006 0.484 0.640
O2 0.015 0.141 0.091
O3 0.029 0.477 0.162
O4 0.036 0.782 0.303
O5 0.041 0.735 0.716
O6 0.074 0.144 0.887
O7 0.106 0.279 0.527
O8 0.141 0.015 0.591
O9 0.144 0.074 0.387
O10 0.153 0.348 0.007
O11 0.158 0.673 0.472
O12 0.212 0.602 0.057
O13 0.218 0.964 0.197
O14 0.223 0.528 0.769
O15 0.265 0.959 0.784
O16 0.279 0.106 0.027
O17 0.301 0.393 0.182
O18 0.327 0.842 0.028
O19 0.348 0.153 0.507
O20 0.353 0.533 0.366
O21 0.373 0.576 0.574
O22 0.393 0.301 0.682
O23 0.398 0.788 0.443
O24 0.424 0.627 0.926
O25 0.467 0.647 0.134
O26 0.472 0.777 0.731
O27 0.477 0.029 0.662
O28 0.484 0.006 0.140
O29 0.516 0.994 0.860
O30 0.523 0.971 0.338
O31 0.528 0.223 0.269
O32 0.533 0.353 0.866
O33 0.576 0.373 0.074
O34 0.602 0.212 0.557
O35 0.607 0.699 0.318
O36 0.627 0.424 0.426
O37 0.647 0.467 0.634
O38 0.652 0.847 0.493
O39 0.673 0.158 0.972
O40 0.699 0.607 0.818
O41 0.721 0.894 0.973
O42 0.735 0.041 0.216
O43 0.777 0.472 0.231
O44 0.782 0.036 0.803
O45 0.788 0.398 0.943
O46 0.842 0.327 0.528
O47 0.847 0.652 0.993
O48 0.856 0.926 0.613
O49 0.859 0.985 0.409
O50 0.894 0.721 0.473
O51 0.926 0.856 0.113
O52 0.959 0.265 0.284
O53 0.964 0.218 0.697
O54 0.971 0.523 0.838
O55 0.985 0.859 0.909
O56 0.994 0.516 0.360


On energetic grounds, ii is preferred over the next structure by 11 meV/atom.


i:
An optimized crystal structure of Lu2PuO, computed with GGA-PBE.

Results
The space-group type is R-3m (166). The value obtained for the density is 11511 kg/m³. The calculation puts the total magnetization at 6.2 Bohr magnetons per cell.

a b c (Å): 9.350 9.350 9.350
angles (deg): 20.53 20.53 20.53
Sites, in units of the cell vectors:
Lu1 0.118 0.118 0.118
Lu2 0.882 0.882 0.882
Pu1 0.000 0.000 0.000
O1 0.500 0.500 0.500


ii:
An optimized crystal structure of Lu2PuO, computed with GGA-PBE.

Results
The space-group type is P4/mmm (123). The value obtained for the density is 12735 kg/m³. The calculation puts the total magnetization at 5.7 Bohr magnetons per cell.

a b c (Å): 3.058 3.058 8.506
angles (deg): 90.00 90.00 90.00
Sites, in units of the cell vectors:
Lu1 0.000 0.000 0.183
Lu2 0.000 0.000 0.817
Pu1 0.500 0.500 0.500
O1 0.500 0.500 0.000


On energetic grounds, i is preferred over the next structure by 312 meV/atom.


i:
An optimized crystal structure of Rb3LuO3, computed with GGA-PBE.

Results
The space-group type is C2/m (12). The value obtained for the density is 4695 kg/m³. The calculation puts the total magnetization at 0.3 Bohr magnetons per cell.

a b c (Å): 7.281 7.281 7.273
angles (deg): 95.10 95.10 116.82
Sites, in units of the cell vectors:
Rb1 0.208 0.792 0.000
Rb2 0.262 0.738 0.500
Rb3 0.361 0.361 0.143
Rb4 0.639 0.639 0.857
Rb5 0.738 0.262 0.500
Rb6 0.792 0.208 0.000
Lu1 0.173 0.173 0.649
Lu2 0.827 0.827 0.351
O1 0.105 0.105 0.351
O2 0.164 0.438 0.767
O3 0.438 0.164 0.767
O4 0.562 0.836 0.233
O5 0.836 0.562 0.233
O6 0.895 0.895 0.649


ii:
An optimized crystal structure of Rb3LuO3, computed with GGA-PBE.

Results
The space-group type is P2_1/c (14). The value obtained for the density is 4722 kg/m³. The calculation puts the total magnetization at 0.4 Bohr magnetons per cell.

a b c (Å): 7.772 7.371 11.802
angles (deg): 90.00 94.14 90.00
Sites, in units of the cell vectors:
Rb1 0.070 0.122 0.158
Rb2 0.070 0.378 0.658
Rb3 0.354 0.160 0.920
Rb4 0.354 0.340 0.420
Rb5 0.379 0.691 0.811
Rb6 0.379 0.809 0.311
Rb7 0.621 0.191 0.689
Rb8 0.621 0.309 0.189
Rb9 0.646 0.660 0.580
Rb10 0.646 0.840 0.080
Rb11 0.930 0.622 0.342
Rb12 0.930 0.878 0.842
Lu1 0.158 0.589 0.069
Lu2 0.158 0.911 0.569
Lu3 0.842 0.089 0.431
Lu4 0.842 0.411 0.931
O1 0.114 0.052 0.411
O2 0.114 0.448 0.911
O3 0.252 0.651 0.548
O4 0.252 0.849 0.048
O5 0.298 0.050 0.696
O6 0.298 0.450 0.196
O7 0.702 0.550 0.804
O8 0.702 0.950 0.304
O9 0.748 0.151 0.952
O10 0.748 0.349 0.452
O11 0.886 0.552 0.089
O12 0.886 0.948 0.589


On energetic grounds, ii is preferred over the next structure by 10 meV/atom.